(1)
The following is a GGA-PBEsol calculation of a geometry-optimized Be2ZnIn structure, from Alexandria via LeMat-Bulk.

Output
The value obtained for the raw total energy is -2.78 eV/atom. The energy of formation is 0.3607 eV/atom.

a b c (Å): 4.1128 4.1128 5.0863
angles (deg): 99.55 99.55 42.65
Last column: nearest neighbours and their distance in Å.
Fractional positions:
Be 0.0000 0.0000 0.0000  3 Be 2.29-2.31, 2 Zn 2.32
Be 0.7289 0.7289 0.1299  3 Be 2.29-2.31, 3 Zn 2.42-2.45
Zn 0.4676 0.4676 0.3373  5 Be 2.32-2.45
In 0.2406 0.2406 0.6897  5 Be 2.63-2.75, 3 Zn 2.71-2.91



(2)
The following is a GGA-PBEsol calculation of a geometry-optimized ZrBeIn2 structure, from Alexandria via LeMat-Bulk.

Output
The value obtained for the raw total energy is -4.70 eV/atom. The energy of formation is 0.0607 eV/atom.

a b c (Å): 3.2189 3.2189 7.4575
angles (deg): 90.00 90.00 93.09
Last column: nearest neighbours and their distance in Å.
Fractional positions:
Zr 0.0000 0.0000 0.0000  4 Be 2.67-2.78
Be 0.5000 0.5000 0.2012  4 Zr 2.67-2.78, 4 In 2.71-2.81
In 0.0000 0.0000 0.4114  4 Be 2.71-2.81
In 0.5000 0.5000 0.7106  4 Zr 3.09-3.18, 8 In 3.14-3.23



(3)
The following is a GGA-PBEsol calculation of a geometry-optimized ZrBe2In structure, from Alexandria via LeMat-Bulk.

Output
The value obtained for the raw total energy is -4.57 eV/atom. The energy of formation is 0.4494 eV/atom.

a b c (Å): 8.9312 8.9312 8.9312
angles (deg): 18.94 18.94 18.94
Last column: nearest neighbours and their distance in Å.
Fractional positions:
Zr 0.0000 0.0000 0.0000  3 Be 2.82, 6 Zr 2.94
Be 0.4802 0.4802 0.4802  3 Be 2.34
Be 0.7525 0.7525 0.7525  3 Be 2.34
In 0.2309 0.2309 0.2309  3 Be 2.79, 6 In 2.94



(4)
The following is a GGA-PBEsol calculation of a geometry-optimized ZrBe2In structure, from Alexandria via LeMat-Bulk.

Output
The value obtained for the raw total energy is -4.95 eV/atom. The energy of formation is 0.0694 eV/atom.

a b c (Å): 3.0451 3.9827 5.3567
angles (deg): 90.00 90.00 90.00
Last column: nearest neighbours and their distance in Å.
Fractional positions:
Zr 0.0000 0.0000 0.0000  8 Be 2.73, 2 Zr 3.05
Be 0.5000 0.5000 0.2019  1 Be 2.16
Be 0.5000 0.5000 0.7981  1 Be 2.16
In 0.5000 0.0000 0.5000  4 Be 2.55



(5)
The following is a GGA-PBEsol calculation of a geometry-optimized Zr2BeIn structure, from Alexandria via LeMat-Bulk.

Output
The value obtained for the raw total energy is -6.18 eV/atom. The energy of formation is 0.1113 eV/atom.

a b c (Å): 3.1811 4.0398 6.0457
angles (deg): 90.00 90.00 90.00
Last column: nearest neighbours and their distance in Å.
Fractional positions:
Zr 0.0000 0.0000 0.0000  1 Be 2.83, 4 Zr 3.00, 4 In 3.04
Zr 0.5000 0.5000 0.2570  2 In 2.87-3.18, 4 Be 2.87, 6 Zr 3.00-3.18
Be 0.0000 0.0000 0.4684  5 Zr 2.83-2.87, 4 In 3.02
In 0.5000 0.5000 0.7312  6 Zr 2.87-3.18, 4 Be 3.02, 2 In 3.18



(6)
The following is a GGA-PBEsol calculation of a geometry-optimized Zr2BeIn structure, from Alexandria via LeMat-Bulk.

Output
The value obtained for the raw total energy is -6.51 eV/atom. The energy of formation is -0.2180 eV/atom.

a b c (Å): 2.9955 2.9955 8.1249
angles (deg): 90.00 90.00 90.00
Last column: nearest neighbours and their distance in Å.
Fractional positions:
Zr 0.0000 0.0000 0.2092  4 Be 2.72, 4 Zr 3.00
Zr 0.0000 0.0000 0.7908  4 Be 2.72, 4 Zr 3.00
Be 0.5000 0.5000 0.0000  8 Zr 2.72, 4 Be 3.00
In 0.5000 0.5000 0.5000  4 In 3.00, 8 Zr 3.17



(7)
The following is a GGA-PBEsol calculation of a geometry-optimized Zr2Be2In structure, from Alexandria via LeMat-Bulk.

Output
The value obtained for the raw total energy is -6.14 eV/atom. The energy of formation is -0.3090 eV/atom.

a b c (Å): 6.4470 6.4470 3.9109
angles (deg): 90.00 90.00 90.00
Last column: nearest neighbours and their distance in Å.
Fractional positions:
Zr 0.1674 0.3326 0.0000  6 Be 2.71-2.76
Zr 0.3326 0.8326 0.0000  6 Be 2.71-2.76
Zr 0.6674 0.1674 0.0000  6 Be 2.71-2.76
Zr 0.8326 0.6674 0.0000  6 Be 2.71-2.76
Be 0.1192 0.6192 0.5000  1 Be 2.17
Be 0.3808 0.1192 0.5000  1 Be 2.17
Be 0.6192 0.8808 0.5000  1 Be 2.17
Be 0.8808 0.3808 0.5000  1 Be 2.17
In 0.0000 0.0000 0.5000  4 Be 2.57
In 0.5000 0.5000 0.5000  4 Be 2.57



(8)
The following is a GGA-PBEsol calculation of a geometry-optimized Be2Ir structure, from Alexandria via LeMat-Bulk.

Output
The value obtained for the raw total energy is -6.22 eV/atom. The energy of formation is -0.2828 eV/atom.

a b c (Å): 6.3398 6.3398 2.7584
angles (deg): 90.00 90.00 120.00
Last column: nearest neighbours and their distance in Å.
Fractional positions:
Be 0.0000 0.3866 0.0000  5 Ir 2.40-2.45, 6 Be 2.48-2.60
Be 0.0000 0.7126 0.5000  4 Ir 2.27-2.29, 2 Be 2.48
Be 0.2874 0.2874 0.5000  4 Ir 2.27-2.29, 2 Be 2.48
Be 0.3866 0.0000 0.0000  5 Ir 2.40-2.45, 6 Be 2.48-2.60
Be 0.6134 0.6134 0.0000  5 Ir 2.40-2.45, 6 Be 2.48-2.60
Be 0.7126 0.0000 0.5000  4 Ir 2.27-2.29, 2 Be 2.48
Ir 0.0000 0.0000 0.0000  9 Be 2.29-2.45
Ir 0.3333 0.6667 0.5000  9 Be 2.27-2.40
Ir 0.6667 0.3333 0.5000  9 Be 2.27-2.40



(9)
The following is a GGA-PBEsol calculation of a geometry-optimized Be5Ir structure, from Alexandria via LeMat-Bulk.

Output
The value obtained for the raw total energy is -5.20 eV/atom. The energy of formation is -0.2321 eV/atom.

a b c (Å): 5.5782 5.5782 3.5538
angles (deg): 90.00 90.00 150.28
Last column: nearest neighbours and their distance in Å.
Fractional positions:
Be 0.0000 0.0000 0.0000  4 Ir 2.28, 4 Be 2.34
Be 0.1711 0.8289 0.5000  8 Be 2.22-2.45, 2 Ir 2.33
Be 0.3278 0.6722 0.0000  10 Be 2.20-2.45
Be 0.6722 0.3278 0.0000  10 Be 2.20-2.45
Be 0.8289 0.1711 0.5000  8 Be 2.22-2.45, 2 Ir 2.33
Ir 0.5000 0.5000 0.5000  8 Be 2.28-2.33



(10)
The following is a GGA-PBEsol calculation of a geometry-optimized Be5Ir3 structure, from Alexandria via LeMat-Bulk.

Output
The value obtained for the raw total energy is -6.71 eV/atom. The energy of formation is -0.5252 eV/atom.

a b c (Å): 4.6604 4.6604 3.8658
angles (deg): 90.00 90.00 104.54
Last column: nearest neighbours and their distance in Å.
Fractional positions:
Be 0.0000 0.0000 0.0000  8 Be 2.33-2.52, 4 Ir 2.53
Be 0.0000 0.5000 0.0000  2 Be 2.33, 6 Ir 2.33-2.41
Be 0.2848 0.2848 0.5000  6 Ir 2.29-2.39, 3 Be 2.45-2.52
Be 0.5000 0.0000 0.0000  2 Be 2.33, 6 Ir 2.33-2.41
Be 0.7152 0.7152 0.5000  6 Ir 2.29-2.39, 3 Be 2.45-2.52
Ir 0.2224 0.7776 0.5000  10 Be 2.31-2.53
Ir 0.5000 0.5000 0.0000  8 Be 2.29-2.33
Ir 0.7776 0.2224 0.5000  10 Be 2.31-2.53



(11)
The following is a GGA-PBEsol calculation of a geometry-optimized Be2Ir structure, from Alexandria via LeMat-Bulk.

Output
The value obtained for the raw total energy is -6.52 eV/atom. The energy of formation is -0.5770 eV/atom.

a b c (Å): 5.9787 5.9787 3.6550
angles (deg): 90.00 90.00 152.72
Last column: nearest neighbours and their distance in Å.
Fractional positions:
Be 0.0661 0.9339 0.7500  6 Ir 2.35-2.41, 4 Be 2.39-2.42
Be 0.2648 0.7352 0.2500  6 Be 2.33-2.42, 4 Ir 2.36-2.40
Be 0.7352 0.2648 0.7500  6 Be 2.33-2.42, 4 Ir 2.36-2.40
Be 0.9339 0.0661 0.2500  6 Ir 2.35-2.41, 4 Be 2.39-2.42
Ir 0.3982 0.6018 0.7500  10 Be 2.35-2.41
Ir 0.6018 0.3982 0.2500  10 Be 2.35-2.41



(12)
The following is a GGA-PBEsol calculation of a geometry-optimized BeIr5 structure, from Alexandria via LeMat-Bulk.

Output
The value obtained for the raw total energy is -9.00 eV/atom. The energy of formation is -0.1495 eV/atom.

a b c (Å): 2.7320 2.7320 10.4206
angles (deg): 90.00 90.00 90.00
Last column: nearest neighbours and their distance in Å.
Fractional positions:
Be 0.0000 0.0000 0.0000  8 Ir 2.38
Ir 0.0000 0.0000 0.3180  12 Ir 2.71-2.73
Ir 0.0000 0.0000 0.6820  12 Ir 2.71-2.73
Ir 0.5000 0.5000 0.1340  4 Be 2.38
Ir 0.5000 0.5000 0.5000  12 Ir 2.71-2.73
Ir 0.5000 0.5000 0.8660  4 Be 2.38



(13)
The following is a GGA-PBEsol calculation of a geometry-optimized BeIr7 structure, from Alexandria via LeMat-Bulk.

Output
The value obtained for the raw total energy is -9.13 eV/atom. The energy of formation is -0.0381 eV/atom.

a b c (Å): 5.3631 5.3631 5.3631
angles (deg): 60.00 60.00 60.00
Last column: nearest neighbours and their distance in Å.
Fractional positions:
Be 0.0000 0.0000 0.0000  12 Ir 2.68
Ir 0.0000 0.0000 0.5000  2 Be 2.68, 10 Ir 2.68
Ir 0.0000 0.5000 0.0000  2 Be 2.68, 10 Ir 2.68
Ir 0.0000 0.5000 0.5000  2 Be 2.68, 10 Ir 2.68
Ir 0.5000 0.0000 0.0000  2 Be 2.68, 10 Ir 2.68
Ir 0.5000 0.0000 0.5000  2 Be 2.68, 10 Ir 2.68
Ir 0.5000 0.5000 0.0000  2 Be 2.68, 10 Ir 2.68
Ir 0.5000 0.5000 0.5000  12 Ir 2.68



(14)
The following is a GGA-PBEsol calculation of a geometry-optimized Be2Ir structure, from Alexandria via LeMat-Bulk.

Output
The value obtained for the raw total energy is -6.44 eV/atom. The energy of formation is -0.4939 eV/atom.

a b c (Å): 3.6001 3.6001 2.6449
angles (deg): 90.00 90.00 120.00
Last column: nearest neighbours and their distance in Å.
Fractional positions:
Be 0.3333 0.6667 0.0000  3 Be 2.08
Be 0.6667 0.3333 0.0000  3 Be 2.08
Ir 0.0000 0.0000 0.5000  12 Be 2.46, 2 Ir 2.64



(15)
The following is a GGA-PBEsol calculation of a geometry-optimized Be24Ir5 structure, from Alexandria via LeMat-Bulk.

Output
The value obtained for the raw total energy is -5.35 eV/atom. The energy of formation is -0.3463 eV/atom.

a b c (Å): 6.9482 6.9482 6.9482
angles (deg): 109.47 109.47 109.47
Last column: nearest neighbours and their distance in Å.
Fractional positions:
Be 0.0000 0.3253 0.6147  5 Be 2.12-2.37, 1 Ir 2.27
Be 0.0000 0.6147 0.3253  5 Be 2.12-2.37, 1 Ir 2.27
Be 0.0000 0.6331 0.8136  6 Be 2.05-2.27
Be 0.0000 0.8136 0.6331  6 Be 2.05-2.27
Be 0.1805 0.3669 0.3669  6 Be 2.05-2.27
Be 0.1864 0.1864 0.8195  6 Be 2.05-2.27
Be 0.1864 0.8195 0.1864  6 Be 2.05-2.27
Be 0.2894 0.6747 0.6747  5 Be 2.12-2.37, 1 Ir 2.27
Be 0.3253 0.0000 0.6147  5 Be 2.12-2.37, 1 Ir 2.27
Be 0.3253 0.6147 0.0000  5 Be 2.12-2.37, 1 Ir 2.27
Be 0.3669 0.1805 0.3669  6 Be 2.05-2.27
Be 0.3669 0.3669 0.1805  6 Be 2.05-2.27
Be 0.3853 0.3853 0.7106  5 Be 2.12-2.37, 1 Ir 2.27
Be 0.3853 0.7106 0.3853  5 Be 2.12-2.37, 1 Ir 2.27
Be 0.6147 0.0000 0.3253  5 Be 2.12-2.37, 1 Ir 2.27
Be 0.6147 0.3253 0.0000  5 Be 2.12-2.37, 1 Ir 2.27
Be 0.6331 0.0000 0.8136  6 Be 2.05-2.27
Be 0.6331 0.8136 0.0000  6 Be 2.05-2.27
Be 0.6747 0.2894 0.6747  5 Be 2.12-2.37, 1 Ir 2.27
Be 0.6747 0.6747 0.2894  5 Be 2.12-2.37, 1 Ir 2.27
Be 0.7106 0.3853 0.3853  5 Be 2.12-2.37, 1 Ir 2.27
Be 0.8136 0.0000 0.6331  6 Be 2.05-2.27
Be 0.8136 0.6331 0.0000  6 Be 2.05-2.27
Be 0.8195 0.1864 0.1864  6 Be 2.05-2.27
Ir 0.0000 0.0000 0.0000  12 Be 2.44
Ir 0.0000 0.0000 0.3946  6 Be 2.27-2.42
Ir 0.0000 0.3946 0.0000  6 Be 2.27-2.42
Ir 0.3946 0.0000 0.0000  6 Be 2.27-2.42
Ir 0.6054 0.6054 0.6054  6 Be 2.27-2.42



(16)
The following is a GGA-PBEsol calculation of a geometry-optimized Be2Ir structure, from Alexandria via LeMat-Bulk.

Output
The value obtained for the raw total energy is -6.47 eV/atom. The energy of formation is -0.5338 eV/atom.

a b c (Å): 4.2037 4.2037 4.2037
angles (deg): 140.40 140.40 57.25
Last column: nearest neighbours and their distance in Å.
Fractional positions:
Be 0.1649 0.1649 0.0000  5 Ir 2.35-2.47, 5 Be 2.37-2.43
Be 0.8351 0.8351 0.0000  5 Ir 2.35-2.47, 5 Be 2.37-2.43
Ir 0.5000 0.5000 0.0000  10 Be 2.35-2.47



(17)
The following is a GGA-PBEsol calculation of a geometry-optimized K2BeIr structure, from Alexandria via LeMat-Bulk.

Output
The value obtained for the raw total energy is -2.89 eV/atom. The energy of formation is 1.1298 eV/atom.

a b c (Å): 11.3492 11.3492 11.3492
angles (deg): 161.14 161.14 26.79
Last column: nearest neighbours and their distance in Å.
Fractional positions:
K 0.1241 0.6250 0.9991  4 K 2.62-2.63
K 0.3750 0.3741 0.4991  4 K 2.62-2.63
K 0.6259 0.1250 0.0009  4 K 2.62-2.63
K 0.8750 0.8759 0.5009  4 K 2.62-2.63
Be 0.0000 0.0000 0.0000  4 Ir 2.63
Be 0.7500 0.2500 0.5000  4 Ir 2.63
Ir 0.2500 0.7500 0.5000  4 Be 2.63
Ir 0.5000 0.5000 0.0000  4 Be 2.63



(18)
The following is a GGA-PBEsol calculation of a geometry-optimized K2BeIr structure, from Alexandria via LeMat-Bulk.

Output
The value obtained for the raw total energy is -3.79 eV/atom. The energy of formation is 0.2311 eV/atom.

a b c (Å): 3.1837 3.1904 9.8320
angles (deg): 90.00 98.28 90.00
Last column: nearest neighbours and their distance in Å.
Fractional positions:
K 0.0000 0.0000 0.0000  2 Be 3.11, 4 K 3.18-3.19, 2 Ir 3.27-3.28
K 0.2499 0.5000 0.5647  1 Be 2.83
Be 0.1163 0.5000 0.2742  4 Ir 2.26
Ir 0.6254 0.0000 0.2941  4 Be 2.26



(19)
The following is a GGA-PBEsol calculation of a geometry-optimized La2BeIr structure, from Alexandria via LeMat-Bulk.

Output
The value obtained for the raw total energy is -6.55 eV/atom. The energy of formation is -0.4184 eV/atom.

a b c (Å): 7.3979 7.3979 7.3979
angles (deg): 31.80 31.80 31.80
Last column: nearest neighbours and their distance in Å.
Fractional positions:
La 0.0000 0.0000 0.0000  3 Be 2.99, 3 Ir 3.00
La 0.1778 0.1778 0.1778  3 Ir 2.99, 3 Be 3.00
Be 0.4219 0.4219 0.4219  3 Ir 2.34
Ir 0.7562 0.7562 0.7562  3 Be 2.34



(20)
The following is a GGA-PBEsol calculation of a geometry-optimized LaBe2Ir structure, from Alexandria via LeMat-Bulk.

Output
The value obtained for the raw total energy is -6.19 eV/atom. The energy of formation is -0.3931 eV/atom.

a b c (Å): 5.5719 5.5719 5.5719
angles (deg): 41.47 41.47 41.47
Last column: nearest neighbours and their distance in Å.
Fractional positions:
La 0.0000 0.0000 0.0000  1 Be 2.81, 4 Ir 2.93-3.14
Be 0.1844 0.1844 0.1844  3 Be 2.32, 3 Ir 2.37
Be 0.4902 0.4902 0.4902  3 Ir 2.29, 3 Be 2.32
Ir 0.8079 0.8079 0.8079  6 Be 2.29-2.37